Entry 1:
A plane-wave DFT calculation with PBE was carried out for an optimized crystal structure of LiNb3Sb.

Geometry as POSCAR:
```
LiNb3Sb
1.0
5.1085 0.0000 0.0000
0.0000 5.1085 0.0000
0.0000 0.0000 5.1085
Li Nb Sb
1 3 1
direct
0.0000 0.0000 0.0000
0.0000 0.5000 0.5000
0.5000 0.0000 0.5000
0.5000 0.5000 0.0000
0.5000 0.5000 0.5000
```

Summary:
Fermi-level density of states: 1.701 states/eV/atom
SG: Pm-3m, No. 221
total magnetization: 0.00 μB/cell
energy: -5.78 eV/atom

***

Entry 2:
A plane-wave DFT calculation with PBE was carried out for an optimized crystal structure of Li2Nb2Sb.

Geometry as POSCAR:
```
Li2Nb2Sb
1.0
-1.8661 1.8661 7.2819
1.8661 -1.8661 7.2819
1.8661 1.8661 -7.2819
Li Nb Sb
2 2 1
direct
0.2500 0.7500 0.5000
0.7500 0.2500 0.5000
0.0837 0.0837 0.0000
0.9163 0.9163 0.0000
0.5000 0.5000 0.0000
```

Summary:
Fermi-level density of states: 0.586 states/eV/atom
SG: I4/mmm, No. 139
total magnetization: 0.00 μB/cell
energy: -5.22 eV/atom

***

Entry 3:
A plane-wave DFT calculation with PBE was carried out for an optimized crystal structure of LiNbTcSb.

Geometry as POSCAR:
```
LiNbTcSb
1.0
0.0000 3.1854 3.1854
3.1854 0.0000 3.1854
3.1854 3.1854 0.0000
Li Nb Tc Sb
1 1 1 1
direct
0.0000 0.0000 0.0000
0.2500 0.2500 0.2500
0.5000 0.5000 0.5000
0.7500 0.7500 0.7500
```

Summary:
Fermi-level density of states: 0.079 states/eV/atom
SG: F-43m, No. 216
total magnetization: 0.00 μB/cell
energy: -6.92 eV/atom

***

Entry 4:
A plane-wave DFT calculation with PBE was carried out for an optimized crystal structure of LiNbSb2Te.

Geometry as POSCAR:
```
LiNbSb2Te
1.0
4.8518 0.0000 0.0000
0.0000 4.8518 0.0000
0.0000 0.0000 5.0304
Li Nb Sb Te
1 1 2 1
direct
0.0000 0.0000 0.0000
0.5000 0.5000 0.5000
0.0000 0.5000 0.0000
0.5000 0.0000 0.0000
0.0000 0.0000 0.5000
```

Summary:
Fermi-level density of states: 1.354 states/eV/atom
SG: P4/mmm, No. 123
total magnetization: 0.01 μB/cell
energy: -3.94 eV/atom

***

Number 4 is which compound?
LiNbSb2Te

***

Repeat the first record exactly.
A plane-wave DFT calculation with PBE was carried out for an optimized crystal structure of LiNb3Sb.

Geometry as POSCAR:
```
LiNb3Sb
1.0
5.1085 0.0000 0.0000
0.0000 5.1085 0.0000
0.0000 0.0000 5.1085
Li Nb Sb
1 3 1
direct
0.0000 0.0000 0.0000
0.0000 0.5000 0.5000
0.5000 0.0000 0.5000
0.5000 0.5000 0.0000
0.5000 0.5000 0.5000
```

Summary:
Fermi-level density of states: 1.701 states/eV/atom
SG: Pm-3m, No. 221
total magnetization: 0.00 μB/cell
energy: -5.78 eV/atom